one) Here is a relaxed structure of Cd2BRu2 from Alexandria. Energies are from PBE.

Computed properties:
Density of states at the Fermi level = 12.5 states/eV/cell

a b c (Å): 6.044 6.044 4.373
angles (deg): 90.00 90.00 90.00
Fractional positions:
Ru  0.156  0.656  0.500
Ru  0.656  0.844  0.500
Ru  0.844  0.344  0.500
Ru  0.344  0.156  0.500
B  0.000  0.000  0.000
B  0.500  0.500  0.000
Cd  0.342  0.842  0.000
Cd  0.842  0.658  0.000
Cd  0.658  0.158  0.000
Cd  0.158  0.342  0.000


two) Here is a relaxed structure of Cd2BRu2 from Alexandria. Energies are from PBE.

Computed properties:
Density of states at the Fermi level = 9.3 states/eV/cell

a b c (Å): 5.724 5.724 4.709
angles (deg): 90.00 90.00 90.00
Fractional positions:
Ru  0.345  0.845  0.000
Ru  0.845  0.655  0.000
Ru  0.655  0.155  0.000
Ru  0.155  0.345  0.000
B  0.000  0.000  0.000
B  0.500  0.500  0.000
Cd  0.171  0.671  0.500
Cd  0.671  0.829  0.500
Cd  0.829  0.329  0.500
Cd  0.329  0.171  0.500


three) Here is a relaxed structure of Cd2BRu2 from Alexandria. Energies are from PBE.

Computed properties:
Density of states at the Fermi level = 5.2 states/eV/cell

a b c (Å): 3.453 3.453 7.958
angles (deg): 77.47 77.47 90.00
Fractional positions:
Ru  0.750  0.250  0.500
Ru  0.250  0.750  0.500
B  0.000  0.000  0.000
Cd  0.407  0.407  0.186
Cd  0.593  0.593  0.814


Most stable: two). Least stable: one).


one) Here is a relaxed structure of CdBRu3 from Alexandria. Energies are from PBE.

Computed properties:
Density of states at the Fermi level = 3.6 states/eV/cell

a b c (Å): 4.142 4.142 4.142
angles (deg): 90.00 90.00 90.00
Fractional positions:
Ru  0.000  0.500  0.000
Ru  0.000  0.000  0.500
Ru  0.500  0.000  0.000
B  0.000  0.000  0.000
Cd  0.500  0.500  0.500


two) Here is a relaxed structure of CdBRu3 from Alexandria. Energies are from PBE.

Computed properties:
Density of states at the Fermi level = 4.6 states/eV/cell

a b c (Å): 4.880 4.880 4.880
angles (deg): 90.00 90.00 90.00
Fractional positions:
Ru  0.000  0.500  0.000
Ru  0.000  0.000  0.500
Ru  0.500  0.000  0.000
B  0.500  0.500  0.500
Cd  0.000  0.000  0.000


Most stable: one). Least stable: two).


one) Here is a relaxed structure of CdB3S from Alexandria. Energies are from PBE.

Computed properties:
Density of states at the Fermi level = 1.6 states/eV/cell

a b c (Å): 4.389 4.389 4.389
angles (deg): 90.00 90.00 90.00
Fractional positions:
S  0.500  0.500  0.500
B  0.000  0.500  0.000
B  0.000  0.000  0.500
B  0.500  0.000  0.000
Cd  0.000  0.000  0.000


two) Here is a relaxed structure of CdB3S from Alexandria. Energies are from PBE.

Computed properties:
Density of states at the Fermi level = 2.4 states/eV/cell

a b c (Å): 3.936 3.936 3.936
angles (deg): 90.00 90.00 90.00
Fractional positions:
S  0.000  0.000  0.000
B  0.000  0.500  0.000
B  0.000  0.000  0.500
B  0.500  0.000  0.000
Cd  0.500  0.500  0.500


Most stable: two). Least stable: one).


one) Here is a relaxed structure of YSc2CdB from Alexandria. Energies are from PBE.

Computed properties:
Density of states at the Fermi level = 5.3 states/eV/cell

a b c (Å): 5.433 4.465 5.433
angles (deg): 90.00 90.00 90.00
Fractional positions:
Y  0.000  0.000  0.000
Sc  0.000  0.000  0.500
Sc  0.500  0.000  0.000
B  0.000  0.500  0.000
Cd  0.500  0.500  0.500


two) Here is a relaxed structure of YSc2CdB from Alexandria. Energies are from PBE.

Computed properties:
Density of states at the Fermi level = 7.2 states/eV/cell

a b c (Å): 4.697 4.697 5.121
angles (deg): 90.00 90.00 90.00
Fractional positions:
Y  0.000  0.000  0.500
Sc  0.000  0.500  0.000
Sc  0.500  0.000  0.000
B  0.000  0.000  0.000
Cd  0.500  0.500  0.500


Most stable: two). Least stable: one).


one) Here is a relaxed structure of CdBSe2 from Alexandria. Energies are from PBE.

Computed properties:
Density of states at the Fermi level = 6.0 states/eV/cell

a b c (Å): 6.387 6.387 6.065
angles (deg): 58.23 58.23 90.00
Fractional positions:
B  0.500  0.500  0.000
B  0.250  0.750  0.500
Se  0.522  0.125  0.250
Se  0.228  0.625  0.250
Se  0.375  0.478  0.750
Se  0.875  0.772  0.750
Cd  0.000  0.000  0.000
Cd  0.750  0.250  0.500


two) Here is a relaxed structure of CdBSe2 from Alexandria. Energies are from PBE.

Computed properties:
Density of states at the Fermi level = 2.0 states/eV/cell

a b c (Å): 4.777 4.777 4.777
angles (deg): 60.00 60.00 60.00
Fractional positions:
B  0.000  0.000  0.000
Se  0.250  0.250  0.250
Se  0.750  0.750  0.750
Cd  0.500  0.500  0.500


Most stable: one). Least stable: two).


one) Here is a relaxed structure of Cd2BSe from Alexandria. Energies are from PBE.

Computed properties:
Density of states at the Fermi level = 3.2 states/eV/cell

a b c (Å): 4.798 4.798 4.798
angles (deg): 60.00 60.00 60.00
Fractional positions:
B  0.000  0.000  0.000
Se  0.500  0.500  0.500
Cd  0.250  0.250  0.250
Cd  0.750  0.750  0.750


two) Here is a relaxed structure of Cd2BSe from Alexandria. Energies are from PBE.

Computed properties:
Density of states at the Fermi level = 2.4 states/eV/cell

a b c (Å): 6.275 6.275 6.465
angles (deg): 60.97 60.97 90.00
Fractional positions:
B  0.500  0.500  0.000
B  0.250  0.750  0.500
Se  0.000  0.000  0.000
Se  0.750  0.250  0.500
Cd  0.577  0.125  0.250
Cd  0.173  0.625  0.250
Cd  0.375  0.423  0.750
Cd  0.875  0.827  0.750


Most stable: two). Least stable: one).


one) Here is a relaxed structure of CdSi2B from Alexandria. Energies are from PBE.

Computed properties:
Density of states at the Fermi level = 1.6 states/eV/cell

a b c (Å): 4.467 4.467 4.467
angles (deg): 60.00 60.00 60.00
Fractional positions:
Si  0.250  0.250  0.250
Si  0.750  0.750  0.750
B  0.000  0.000  0.000
Cd  0.500  0.500  0.500


two) Here is a relaxed structure of CdSi2B from Alexandria. Energies are from PBE.

Computed properties:
Density of states at the Fermi level = 3.4 states/eV/cell

a b c (Å): 5.604 5.604 6.106
angles (deg): 62.68 62.68 90.00
Fractional positions:
Si  0.526  0.125  0.250
Si  0.224  0.625  0.250
Si  0.375  0.474  0.750
Si  0.875  0.776  0.750
B  0.500  0.500  0.000
B  0.250  0.750  0.500
Cd  0.000  0.000  0.000
Cd  0.750  0.250  0.500


Most stable: two). Least stable: one).


one) Here is a relaxed structure of SrCd3B from Alexandria. Energies are from PBE.

Computed properties:
Density of states at the Fermi level = 3.2 states/eV/cell

a b c (Å): 4.869 4.869 4.869
angles (deg): 90.00 90.00 90.00
Fractional positions:
Sr  0.500  0.500  0.500
B  0.000  0.000  0.000
Cd  0.000  0.500  0.000
Cd  0.000  0.000  0.500
Cd  0.500  0.000  0.000


two) Here is a relaxed structure of SrCd3B from Alexandria. Energies are from PBE.

Computed properties:
Density of states at the Fermi level = 5.4 states/eV/cell

a b c (Å): 6.443 6.443 6.443
angles (deg): 90.00 90.00 90.00
Fractional positions:
Sr  0.000  0.000  0.000
B  0.500  0.500  0.500
Cd  0.000  0.500  0.000
Cd  0.000  0.000  0.500
Cd  0.500  0.000  0.000


Most stable: one). Least stable: two).


one) Here is a relaxed structure of Sr2CdB from Alexandria. Energies are from PBE.

Computed properties:
Density of states at the Fermi level = 4.8 states/eV/cell

a b c (Å): 5.367 5.367 5.367
angles (deg): 60.00 60.00 60.00
Fractional positions:
Sr  0.250  0.250  0.250
Sr  0.750  0.750  0.750
B  0.000  0.000  0.000
Cd  0.500  0.500  0.500


two) Here is a relaxed structure of Sr2CdB from Alexandria. Energies are from PBE.

Computed properties:
Density of states at the Fermi level = 2.5 states/eV/cell

a b c (Å): 8.317 8.317 6.998
angles (deg): 53.54 53.54 90.00
Fractional positions:
Sr  0.558  0.125  0.250
Sr  0.192  0.625  0.250
Sr  0.375  0.442  0.750
Sr  0.875  0.808  0.750
B  0.500  0.500  0.000
B  0.250  0.750  0.500
Cd  0.000  0.000  0.000
Cd  0.750  0.250  0.500


Most stable: one). Least stable: two).


one) Here is a relaxed structure of TaCdB3 from Alexandria. Energies are from PBE.

Computed properties:
Density of states at the Fermi level = 4.4 states/eV/cell

a b c (Å): 4.166 4.166 4.166
angles (deg): 90.00 90.00 90.00
Fractional positions:
B  0.000  0.500  0.000
B  0.000  0.000  0.500
B  0.500  0.000  0.000
Cd  0.000  0.000  0.000
Ta  0.500  0.500  0.500


two) Here is a relaxed structure of TaCdB3 from Alexandria. Energies are from PBE.

Computed properties:
Density of states at the Fermi level = 2.2 states/eV/cell

a b c (Å): 4.312 4.312 4.312
angles (deg): 90.00 90.00 90.00
Fractional positions:
B  0.000  0.500  0.000
B  0.000  0.000  0.500
B  0.500  0.000  0.000
Cd  0.500  0.500  0.500
Ta  0.000  0.000  0.000


Most stable: two). Least stable: one).


one) Here is a relaxed structure of Ta2CdB from Alexandria. Energies are from PBE.

Computed properties:
Density of states at the Fermi level = 1.8 states/eV/cell

a b c (Å): 4.459 4.459 4.459
angles (deg): 60.00 60.00 60.00
Fractional positions:
B  0.000  0.000  0.000
Cd  0.500  0.500  0.500
Ta  0.250  0.250  0.250
Ta  0.750  0.750  0.750


two) Here is a relaxed structure of Ta2CdB from Alexandria. Energies are from PBE.

Computed properties:
Density of states at the Fermi level = 3.4 states/eV/cell

a b c (Å): 6.900 6.900 5.609
angles (deg): 52.04 52.04 90.00
Fractional positions:
B  0.500  0.500  0.000
B  0.250  0.750  0.500
Cd  0.000  0.000  0.000
Cd  0.750  0.250  0.500
Ta  0.568  0.125  0.250
Ta  0.182  0.625  0.250
Ta  0.375  0.432  0.750
Ta  0.875  0.818  0.750


Most stable: two). Least stable: one).


one) Here is a relaxed structure of Cd3TcB from Alexandria. Energies are from PBE.

Computed properties:
Density of states at the Fermi level = 4.5 states/eV/cell

a b c (Å): 5.253 5.253 5.253
angles (deg): 90.00 90.00 90.00
Fractional positions:
B  0.500  0.500  0.500
Tc  0.000  0.000  0.000
Cd  0.000  0.500  0.000
Cd  0.000  0.000  0.500
Cd  0.500  0.000  0.000


two) Here is a relaxed structure of Cd3TcB from Alexandria. Energies are from PBE.

Computed properties:
Density of states at the Fermi level = 1.9 states/eV/cell

a b c (Å): 4.512 4.512 4.512
angles (deg): 90.00 90.00 90.00
Fractional positions:
B  0.000  0.000  0.000
Tc  0.500  0.500  0.500
Cd  0.000  0.500  0.000
Cd  0.000  0.000  0.500
Cd  0.500  0.000  0.000


Most stable: two). Least stable: one).